Below is an optimized crystal structure of Er8In3Co, with properties calculated at the PBE-GGA level.

Lattice parameters (Å, degrees): 10.2713 10.2713 6.9513 90.00 90.00 120.00
With the nearest neighbours (Å) after each atom.
Space group P6_3mc (No. 186)
One atom of each set of equivalent atoms:
Er 0.0000 0.0000 0.2802 (multiplicity 2)  6 In 3.34-3.41, 8 Er 3.48-3.73
Er 0.0699 0.5349 0.2933 (multiplicity 6)  1 Co 2.81
Er 0.1786 0.3573 0.0000 (multiplicity 6)  1 Co 2.80, 2 In 3.06
Er 0.3333 0.6667 0.6837 (multiplicity 2)  1 Co 2.69
In 0.1627 0.3253 0.5399 (multiplicity 6)  8 Er 3.06-3.41
Co 0.3333 0.6667 0.0708 (multiplicity 2)  7 Er 2.69-2.81

volume	26.5	Å³/atom
E_form	-359	meV per atom
crystal system	hexagonal
ρ	9.11	g/cm3
total magnetic moment	0.00	μB/f.u.